GGA-PBE Al2InP, optimized geometry; space group = No. 44; M_tot = 0.00 μB/f.u.; E above lowest polymorph = 210.7 meV/atom; crystal system = orthorhombic; V = 19.6 Å³/atom; DFT total energy = -3.798 eV/atom; E_form = 110 meV/atom
1.0
3.490 0.000 0.000
0.000 4.237 0.000
0.000 0.000 10.608
Al In P
4 2 2
direct
0.000 0.000 0.000
0.000 0.500 0.191
0.500 0.000 0.691
0.500 0.500 0.500
0.000 0.500 0.792
0.500 0.000 0.292
0.000 0.000 0.523
0.500 0.500 0.023